# 1
Entry from the Open Quantum Materials Database: a geometry-optimized FeSiHgPd structure (PBE).

Structure (POSCAR):
```
FeSiHgPd
1.0
2.147 -2.454 -3.010
-0.704 -4.377 -0.206
-2.210 -1.733 -3.436
Fe Pd Hg Si
1 1 1 1
direct
0.750 0.750 0.750
0.250 0.250 0.250
0.500 0.500 0.500
0.000 0.000 0.000
```

Output
Space-group type   No. 216
Total DFT energy (no corrections)   -18.59 eV per cell
Size of the total moment   2.304 μB/cell
E above lowest polymorph   0 meV/atom


# 2
Entry from the Open Quantum Materials Database: a geometry-optimized La2Pd5Au5 structure (PBE).

Structure (POSCAR):
```
La2Pd5Au5
1.0
-4.417 -0.196 1.319
1.586 -0.861 5.184
0.045 9.382 1.545
Pd Au La
5 5 2
direct
0.500 0.000 0.000
0.000 0.000 0.163
0.000 0.000 0.837
0.000 0.500 0.665
0.000 0.500 0.335
0.500 0.250 0.753
0.500 0.750 0.753
0.500 0.750 0.247
0.500 0.500 0.500
0.500 0.250 0.247
0.000 0.500 0.000
0.000 0.000 0.500
```

Output
Space-group type   No. 47
Total DFT energy (no corrections)   -59.50 eV per cell
ΔE_f   -7.4 eV per formula unit
Size of the total moment   0.024 μB/cell


# 3
Entry from the Open Quantum Materials Database: a geometry-optimized FeTeS structure (PBE).

Structure (POSCAR):
```
FeTeS
1.0
3.658 0.000 0.000
0.000 5.844 0.000
0.000 0.000 4.857
S Fe Te
2 2 2
direct
0.500 0.890 0.279
0.000 0.110 0.779
0.500 0.226 0.509
0.000 0.774 0.009
0.500 0.626 0.712
0.000 0.374 0.212
```

Output
Space-group type   No. 31
Total DFT energy (no corrections)   -32.73 eV per cell
Size of the total moment   0.021 μB/cell
E above lowest polymorph   0 meV/atom


# 4
Entry from the Open Quantum Materials Database: a geometry-optimized NbCdInNi structure (PBE).

Structure (POSCAR):
```
NbCdInNi
1.0
0.000 3.283 3.283
3.283 0.000 3.283
3.283 3.283 0.000
Cd Ni In Nb
1 1 1 1
direct
0.500 0.500 0.500
0.750 0.750 0.750
0.000 0.000 0.000
0.250 0.250 0.250
```

Output
Space-group type   No. 216
Total DFT energy (no corrections)   -18.07 eV per cell
Size of the total moment   0.165 μB/cell


> The highest total DFT energy (no corrections) belongs to which entry?

NbCdInNi